Run i
ErThPdPt: optimized geometry, PBE.

a = 4.510 Å, b = 3.802 Å, c = 10.870 Å
α = 90.00°, β = 90.00°, γ = 90.00°
Space group Amm2 (No. 38)
Inequivalent atoms, fractional coordinates:
Er 0.000 0.000 0.000 (multiplicity 2)
Th 0.500 0.000 0.275 (multiplicity 2)
Pd 0.500 0.000 0.547 (multiplicity 2)
Pt 0.000 0.000 0.730 (multiplicity 2)

Values from the calculation:
magnetic moment = 0.0 Bohr magnetons per cell
Fermi-level density of states = 6.519 states/eV per cell

---

Run ii
ErThPdPt: optimized geometry, PBE.

a = 7.128 Å, b = 7.128 Å, c = 7.128 Å
α = 90.00°, β = 90.00°, γ = 90.00°
Space group F-43m (No. 216)
Inequivalent atoms, fractional coordinates:
Er 0.000 0.000 0.000 (multiplicity 4)
Th 0.000 0.000 0.500 (multiplicity 4)
Pd 0.250 0.250 0.250 (multiplicity 4)
Pt 0.250 0.250 0.750 (multiplicity 4)

Values from the calculation:
magnetic moment = 0.0 Bohr magnetons per cell
Fermi-level density of states = 12.693 states/eV per cell

---

How do the energies compare? Relative to the most stable structure, in meV/atom: run i 0; run ii 127.

---

Run i
ErTmPdPt: optimized geometry, PBE.

a = 4.465 Å, b = 3.720 Å, c = 10.435 Å
α = 90.00°, β = 90.00°, γ = 90.00°
Space group Amm2 (No. 38)
Inequivalent atoms, fractional coordinates:
Er 0.000 0.000 0.000 (multiplicity 2)
Tm 0.500 0.000 0.724 (multiplicity 2)
Pd 0.000 0.000 0.274 (multiplicity 2)
Pt 0.500 0.000 0.449 (multiplicity 2)

Values from the calculation:
magnetic moment = 0.0 Bohr magnetons per cell
Fermi-level density of states = 6.462 states/eV per cell

---

Run ii
ErTmPdPt: optimized geometry, PBE.

a = 6.925 Å, b = 6.925 Å, c = 6.925 Å
α = 90.00°, β = 90.00°, γ = 90.00°
Space group F-43m (No. 216)
Inequivalent atoms, fractional coordinates:
Er 0.000 0.000 0.000 (multiplicity 4)
Tm 0.000 0.000 0.500 (multiplicity 4)
Pd 0.250 0.250 0.750 (multiplicity 4)
Pt 0.250 0.250 0.250 (multiplicity 4)

Values from the calculation:
magnetic moment = 0.0 Bohr magnetons per cell
Fermi-level density of states = 11.497 states/eV per cell

---

How do the energies compare? Relative to the most stable structure, in meV/atom: run i 0; run ii 20.

---

Run i
ErPuPd: optimized geometry, PBE.

a = 3.494 Å, b = 3.494 Å, c = 12.029 Å
α = 90.00°, β = 90.00°, γ = 90.00°
Space group I4mm (No. 107)
Inequivalent atoms, fractional coordinates:
Er 0.000 0.000 0.000 (multiplicity 2)
Pu 0.000 0.000 0.714 (multiplicity 2)
Pd 0.000 0.000 0.372 (multiplicity 2)

Values from the calculation:
magnetic moment = 12.9 Bohr magnetons per cell
Fermi-level density of states = 18.198 states/eV per cell

---

Run ii
ErPuPd: optimized geometry, PBE.

a = 3.480 Å, b = 4.713 Å, c = 8.102 Å
α = 84.66°, β = 77.63°, γ = 89.90°
Space group P-1 (No. 2)
Inequivalent atoms, fractional coordinates:
Er 0.082 0.278 0.336 (multiplicity 2)
Pu 0.240 0.835 0.022 (multiplicity 2)
Pd 0.428 0.227 0.644 (multiplicity 2)

Values from the calculation:
magnetic moment = 3.7 Bohr magnetons per cell
Fermi-level density of states = 8.303 states/eV per cell

---

How do the energies compare? Relative to the most stable structure, in meV/atom: run i 0; run ii 9.

---

Run i
Er2PuPd: optimized geometry, PBE.

a = 3.481 Å, b = 3.481 Å, c = 8.352 Å
α = 90.00°, β = 90.00°, γ = 90.00°
Space group P4/mmm (No. 123)
Inequivalent atoms, fractional coordinates:
Er 0.000 0.000 0.202 (multiplicity 2)
Pu 0.500 0.500 0.500 (multiplicity 1)
Pd 0.500 0.500 0.000 (multiplicity 1)

Values from the calculation:
magnetic moment = 6.7 Bohr magnetons per cell
Fermi-level density of states = 7.442 states/eV per cell

---

Run ii
Er2PuPd: optimized geometry, PBE.

a = 3.4660 Å, b = 3.4660 Å, c = 31.9006 Å
α = 90.00°, β = 90.00°, γ = 120.00°
Space group R-3m (No. 166, hexagonal axes)
Inequivalent atoms, fractional coordinates:
Er 0.0000 0.0000 0.1035 (multiplicity 6)
Pu 0.0000 0.0000 0.0000 (multiplicity 3)
Pd 0.0000 0.0000 0.5000 (multiplicity 3)

Values from the calculation:
magnetic moment = 19.0 Bohr magnetons per cell
Fermi-level density of states = 31.694 states/eV per cell

---

How do the energies compare? Relative to the most stable structure, in meV/atom: run i 0; run ii 340.

---

Run i
ErPuPd4: optimized geometry, PBE.

a = 7.693 Å, b = 7.693 Å, c = 7.693 Å
α = 90.00°, β = 90.00°, γ = 90.00°
Space group F-43m (No. 216)
Inequivalent atoms, fractional coordinates:
Er 0.000 0.000 0.000 (multiplicity 4)
Pu 0.250 0.250 0.750 (multiplicity 4)
Pd 0.125 0.125 0.375 (multiplicity 16)

Values from the calculation:
magnetic moment = 21.3 Bohr magnetons per cell
Fermi-level density of states = 72.188 states/eV per cell

---

Run ii
ErPuPd4: optimized geometry, PBE.

a = 3.957 Å, b = 3.957 Å, c = 8.462 Å
α = 90.00°, β = 90.00°, γ = 90.00°
Space group P4/mmm (No. 123)
Inequivalent atoms, fractional coordinates:
Er 0.000 0.000 0.000 (multiplicity 1)
Pu 0.500 0.500 0.500 (multiplicity 1)
Pd 0.000 0.500 0.247 (multiplicity 4)

Values from the calculation:
magnetic moment = 5.2 Bohr magnetons per cell
Fermi-level density of states = 17.055 states/eV per cell

---

How do the energies compare? Relative to the most stable structure, in meV/atom: run i 0; run ii 147.

---

Run i
Er3PdRh: optimized geometry, PBE.

a = 3.959 Å, b = 6.737 Å, c = 9.655 Å
α = 80.19°, β = 89.93°, γ = 72.93°
Space group P-1 (No. 2)
Inequivalent atoms, fractional coordinates:
Er 0.092 0.316 0.385 (multiplicity 2)
Er 0.353 0.794 0.288 (multiplicity 2)
Er 0.365 0.769 0.909 (multiplicity 2)
Pd 0.048 0.403 0.879 (multiplicity 2)
Rh 0.267 0.965 0.619 (multiplicity 2)

Values from the calculation:
magnetic moment = 0.0 Bohr magnetons per cell
Fermi-level density of states = 6.561 states/eV per cell

---

Run ii
Er3PdRh: optimized geometry, PBE.

a = 9.715 Å, b = 6.262 Å, c = 8.519 Å
α = 90.00°, β = 116.76°, γ = 90.00°
Space group C2/m (No. 12)
Inequivalent atoms, fractional coordinates:
Er 0.021 0.000 0.260 (multiplicity 4)
Er 0.193 0.500 0.863 (multiplicity 4)
Er 0.199 0.500 0.325 (multiplicity 4)
Pd 0.000 0.287 0.500 (multiplicity 4)
Rh 0.000 0.271 0.000 (multiplicity 4)

Values from the calculation:
magnetic moment = 0.0 Bohr magnetons per cell
Fermi-level density of states = 15.926 states/eV per cell

---

How do the energies compare? Relative to the most stable structure, in meV/atom: run i 13; run ii 0.

---

Run i
ErPdRh: optimized geometry, PBE.

a = 4.3616 Å, b = 4.3616 Å, c = 3.5666 Å
α = 90.00°, β = 90.00°, γ = 120.00°
Space group P-6m2 (No. 187)
Inequivalent atoms, fractional coordinates:
Er 0.0000 0.0000 0.0000 (multiplicity 1)
Pd 0.6667 0.3333 0.5000 (multiplicity 1)
Rh 0.3333 0.6667 0.5000 (multiplicity 1)

Values from the calculation:
magnetic moment = 0.0 Bohr magnetons per cell
Fermi-level density of states = 1.291 states/eV per cell

---

Run ii
ErPdRh: optimized geometry, PBE.

a = 3.440 Å, b = 3.440 Å, c = 9.264 Å
α = 90.00°, β = 90.00°, γ = 90.00°
Space group I4mm (No. 107)
Inequivalent atoms, fractional coordinates:
Er 0.000 0.000 0.000 (multiplicity 2)
Pd 0.000 0.000 0.672 (multiplicity 2)
Rh 0.000 0.000 0.340 (multiplicity 2)

Values from the calculation:
magnetic moment = 0.0 Bohr magnetons per cell
Fermi-level density of states = 4.249 states/eV per cell

---

How do the energies compare? Relative to the most stable structure, in meV/atom: run i 0; run ii 29.

---

Run i
Er4PdRh: optimized geometry, PBE.

a = 9.264 Å, b = 9.264 Å, c = 8.121 Å
α = 90.00°, β = 90.00°, γ = 90.00°
Space group I4_1md (No. 109)
Inequivalent atoms, fractional coordinates:
Er 0.000 0.199 0.000 (multiplicity 8)
Er 0.000 0.204 0.488 (multiplicity 8)
Pd 0.000 0.000 0.742 (multiplicity 4)
Rh 0.000 0.000 0.245 (multiplicity 4)

Values from the calculation:
magnetic moment = 0.0 Bohr magnetons per cell
Fermi-level density of states = 16.342 states/eV per cell

---

Run ii
Er4PdRh: optimized geometry, PBE.

a = 13.183 Å, b = 13.183 Å, c = 13.183 Å
α = 90.00°, β = 90.00°, γ = 90.00°
Space group F-43m (No. 216)
Inequivalent atoms, fractional coordinates:
Er 0.000 0.000 0.186 (multiplicity 24)
Er 0.061 0.250 0.750 (multiplicity 24)
Er 0.110 0.110 0.390 (multiplicity 16)
Pd 0.161 0.161 0.161 (multiplicity 16)
Rh 0.104 0.104 0.604 (multiplicity 16)

Values from the calculation:
magnetic moment = 0.0 Bohr magnetons per cell
Fermi-level density of states = 95.243 states/eV per cell

---

How do the energies compare? Relative to the most stable structure, in meV/atom: run i 141; run ii 0.

---

Run i
Er8PdRh2: optimized geometry, PBE.

a = 8.290 Å, b = 12.538 Å, c = 5.828 Å
α = 90.00°, β = 107.99°, γ = 90.00°
Space group Cm (No. 8)
Inequivalent atoms, fractional coordinates:
Er 0.000 0.000 0.000 (multiplicity 2)
Er 0.076 0.370 0.776 (multiplicity 4)
Er 0.160 0.130 0.582 (multiplicity 4)
Er 0.233 0.500 0.362 (multiplicity 2)
Er 0.367 0.222 0.182 (multiplicity 4)
Pd 0.368 0.000 0.321 (multiplicity 2)
Rh 0.369 0.309 0.682 (multiplicity 4)

Values from the calculation:
magnetic moment = 0.0 Bohr magnetons per cell
Fermi-level density of states = 21.325 states/eV per cell

---

Run ii
Er8PdRh2: optimized geometry, PBE.

a = 17.184 Å, b = 4.935 Å, c = 6.734 Å
α = 90.00°, β = 105.86°, γ = 90.00°
Space group C2/m (No. 12)
Inequivalent atoms, fractional coordinates:
Er 0.034 0.000 0.281 (multiplicity 4)
Er 0.094 0.500 0.959 (multiplicity 4)
Er 0.169 0.500 0.472 (multiplicity 4)
Er 0.203 0.000 0.820 (multiplicity 4)
Pd 0.000 0.500 0.500 (multiplicity 2)
Rh 0.189 0.000 0.218 (multiplicity 4)

Values from the calculation:
magnetic moment = 0.0 Bohr magnetons per cell
Fermi-level density of states = 25.106 states/eV per cell

---

How do the energies compare? Relative to the most stable structure, in meV/atom: run i 55; run ii 0.

---

Run i
SmErPdRh: optimized geometry, PBE.

a = 4.471 Å, b = 3.727 Å, c = 10.605 Å
α = 90.00°, β = 90.00°, γ = 90.00°
Space group Amm2 (No. 38)
Inequivalent atoms, fractional coordinates:
Sm 0.000 0.000 0.000 (multiplicity 2)
Er 0.500 0.000 0.278 (multiplicity 2)
Pd 0.500 0.000 0.559 (multiplicity 2)
Rh 0.000 0.000 0.733 (multiplicity 2)

Values from the calculation:
magnetic moment = 0.0 Bohr magnetons per cell
Fermi-level density of states = 4.948 states/eV per cell

---

Run ii
SmErPdRh: optimized geometry, PBE.

a = 6.979 Å, b = 6.979 Å, c = 6.979 Å
α = 90.00°, β = 90.00°, γ = 90.00°
Space group F-43m (No. 216)
Inequivalent atoms, fractional coordinates:
Sm 0.000 0.000 0.000 (multiplicity 4)
Er 0.000 0.000 0.500 (multiplicity 4)
Pd 0.250 0.250 0.250 (multiplicity 4)
Rh 0.250 0.250 0.750 (multiplicity 4)

Values from the calculation:
magnetic moment = 0.0 Bohr magnetons per cell
Fermi-level density of states = 9.025 states/eV per cell

---

How do the energies compare? Relative to the most stable structure, in meV/atom: run i 0; run ii 12.

---

Run i
ErThPdRh: optimized geometry, PBE.

a = 4.245 Å, b = 3.819 Å, c = 11.186 Å
α = 90.00°, β = 90.00°, γ = 90.00°
Space group Amm2 (No. 38)
Inequivalent atoms, fractional coordinates:
Er 0.000 0.000 0.000 (multiplicity 2)
Th 0.500 0.000 0.724 (multiplicity 2)
Pd 0.500 0.000 0.448 (multiplicity 2)
Rh 0.000 0.000 0.261 (multiplicity 2)

Values from the calculation:
magnetic moment = 0.0 Bohr magnetons per cell
Fermi-level density of states = 6.191 states/eV per cell

---

Run ii
ErThPdRh: optimized geometry, PBE.

a = 7.070 Å, b = 7.070 Å, c = 7.070 Å
α = 90.00°, β = 90.00°, γ = 90.00°
Space group F-43m (No. 216)
Inequivalent atoms, fractional coordinates:
Er 0.000 0.000 0.000 (multiplicity 4)
Th 0.000 0.000 0.500 (multiplicity 4)
Pd 0.250 0.250 0.250 (multiplicity 4)
Rh 0.250 0.250 0.750 (multiplicity 4)

Values from the calculation:
magnetic moment = 0.0 Bohr magnetons per cell
Fermi-level density of states = 18.952 states/eV per cell

---

How do the energies compare? Relative to the most stable structure, in meV/atom: run i 0; run ii 140.

---

Run i
ErZrPdRh: optimized geometry, PBE.

a = 4.448 Å, b = 3.452 Å, c = 10.353 Å
α = 90.00°, β = 90.00°, γ = 90.00°
Space group Amm2 (No. 38)
Inequivalent atoms, fractional coordinates:
Er 0.000 0.000 0.000 (multiplicity 2)
Zr 0.500 0.000 0.279 (multiplicity 2)
Pd 0.500 0.000 0.556 (multiplicity 2)
Rh 0.000 0.000 0.736 (multiplicity 2)

Values from the calculation:
magnetic moment = 0.0 Bohr magnetons per cell
Fermi-level density of states = 5.826 states/eV per cell

---

Run ii
ErZrPdRh: optimized geometry, PBE.

a = 6.763 Å, b = 6.763 Å, c = 6.763 Å
α = 90.00°, β = 90.00°, γ = 90.00°
Space group F-43m (No. 216)
Inequivalent atoms, fractional coordinates:
Er 0.000 0.000 0.000 (multiplicity 4)
Zr 0.000 0.000 0.500 (multiplicity 4)
Pd 0.250 0.250 0.250 (multiplicity 4)
Rh 0.250 0.250 0.750 (multiplicity 4)

Values from the calculation:
magnetic moment = 0.0 Bohr magnetons per cell
Fermi-level density of states = 22.408 states/eV per cell

---

How do the energies compare? Relative to the most stable structure, in meV/atom: run i 0; run ii 43.